First-principles (PBE) data for crystalline MgReP at its relaxed geometry, as listed in Alexandria via LeMat-Bulk.

Unit cell a=3.0305 b=3.0305 c=6.1407 alpha=90.00 beta=90.00 gamma=120.00
Element x y z (fractional)
Mg (0.0000, 0.0000, 0.0000)
Re (0.3333, 0.6667, 0.6294)
P (0.6667, 0.3333, 0.3710)

Computed properties:
* offset from the most stable computed form: 0.48 eV/f.u.
* energy of formation from the pure elements: -0.342 eV per formula unit


First-principles (PBE) data for crystalline LiBeTe2 at its relaxed geometry, as listed in Alexandria via LeMat-Bulk.

Unit cell a=6.2758 b=6.2758 c=10.5654 alpha=90.00 beta=90.00 gamma=90.00
Element x y z (fractional)
Li (0.0000, 0.0000, 0.0000)
Li (0.0000, 0.5000, 0.2500)
Li (0.5000, 0.0000, 0.7500)
Li (0.5000, 0.5000, 0.5000)
Be (0.0000, 0.0000, 0.5000)
Be (0.0000, 0.5000, 0.7500)
Be (0.5000, 0.0000, 0.2500)
Be (0.5000, 0.5000, 0.0000)
Te (0.2086, 0.2500, 0.6250)
Te (0.2500, 0.7086, 0.8750)
Te (0.2500, 0.7914, 0.3750)
Te (0.2914, 0.2500, 0.1250)
Te (0.7086, 0.7500, 0.1250)
Te (0.7500, 0.2086, 0.3750)
Te (0.7500, 0.2914, 0.8750)
Te (0.7914, 0.7500, 0.6250)

Computed properties:
* energy relative to the elements, uncorrected: -0.371 eV/atom


First-principles (PBE) data for crystalline Rb2Cu2Se2S at its relaxed geometry, as listed in Alexandria via LeMat-Bulk.

Unit cell a=12.9098 b=4.1665 c=7.7174 alpha=90.00 beta=105.11 gamma=90.00
Element x y z (fractional)
Rb (0.1052, 0.0000, 0.3070)
Rb (0.3948, 0.5000, 0.6930)
Rb (0.6052, 0.5000, 0.3070)
Rb (0.8948, 0.0000, 0.6930)
Cu (0.1597, 0.5000, 0.9339)
Cu (0.3403, 0.0000, 0.0661)
Cu (0.6597, 0.0000, 0.9339)
Cu (0.8403, 0.5000, 0.0661)
Se (0.1884, 0.0000, 0.7858)
Se (0.3116, 0.5000, 0.2142)
Se (0.6884, 0.5000, 0.7858)
Se (0.8116, 0.0000, 0.2142)
S (0.0000, 0.5000, 0.0000)
S (0.5000, 0.0000, 0.0000)

Computed properties:
* energy relative to the elements, uncorrected: -0.556 eV/atom


First-principles (PBE) data for crystalline Cr3NiRh12 at its relaxed geometry, as listed in Alexandria via LeMat-Bulk.

Unit cell a=3.8002 b=3.8002 c=15.1928 alpha=90.00 beta=90.00 gamma=90.00
Element x y z (fractional)
Cr (0.0000, 0.0000, 0.0000)
Cr (0.0000, 0.0000, 0.2532)
Cr (0.0000, 0.0000, 0.7468)
Ni (0.0000, 0.0000, 0.5000)
Rh (0.0000, 0.5000, 0.1249)
Rh (0.0000, 0.5000, 0.3741)
Rh (0.0000, 0.5000, 0.6259)
Rh (0.0000, 0.5000, 0.8751)
Rh (0.5000, 0.0000, 0.1249)
Rh (0.5000, 0.0000, 0.3741)
Rh (0.5000, 0.0000, 0.6259)
Rh (0.5000, 0.0000, 0.8751)
Rh (0.5000, 0.5000, 0.0000)
Rh (0.5000, 0.5000, 0.2496)
Rh (0.5000, 0.5000, 0.5000)
Rh (0.5000, 0.5000, 0.7504)

Computed properties:
* energy of formation from the pure elements: -1.467 eV per formula unit


First-principles (PBE) data for crystalline CrCu2SbIr at its relaxed geometry, as listed in Alexandria via LeMat-Bulk.

Unit cell a=4.6933 b=4.6933 c=4.8932 alpha=90.00 beta=90.00 gamma=90.00
Element x y z (fractional)
Cr (0.0000, 0.0000, 0.0000)
Cu (0.0000, 0.5000, 0.5000)
Cu (0.5000, 0.0000, 0.5000)
Sb (0.5000, 0.5000, 0.0000)
Ir (0.5000, 0.5000, 0.5000)

Computed properties:
* energy relative to the elements, uncorrected: 1.324 eV/atom


First-principles (PBE) data for crystalline PrCrNi2H8 at its relaxed geometry, as listed in Alexandria via LeMat-Bulk.

Unit cell a=6.0416 b=6.0416 c=6.0416 alpha=44.22 beta=44.22 gamma=44.22
Element x y z (fractional)
Pr (0.0000, 0.0000, 0.0000)
Cr (0.5000, 0.5000, 0.5000)
Ni (0.2109, 0.2109, 0.2109)
Ni (0.7891, 0.7891, 0.7891)
H (0.1304, 0.7994, 0.4148)
H (0.2006, 0.5852, 0.8696)
H (0.3082, 0.3082, 0.3082)
H (0.4148, 0.1304, 0.7994)
H (0.5852, 0.8696, 0.2006)
H (0.6918, 0.6918, 0.6918)
H (0.7994, 0.4148, 0.1304)
H (0.8696, 0.2006, 0.5852)


First-principles (PBE) data for crystalline MoW8 at its relaxed geometry, as listed in Alexandria via LeMat-Bulk.

Unit cell a=6.9378 b=6.9378 c=6.9378 alpha=93.02 beta=93.02 gamma=153.47
Element x y z (fractional)
Mo (0.0000, 0.0000, 0.0000)
W (0.0000, 0.3332, 0.3332)
W (0.0000, 0.6668, 0.6668)
W (0.3332, 0.0000, 0.3332)
W (0.3335, 0.3335, 0.6671)
W (0.3335, 0.6665, 0.0000)
W (0.6665, 0.3335, 0.0000)
W (0.6665, 0.6665, 0.3329)
W (0.6668, 0.0000, 0.6668)

Computed properties:
* offset from the most stable computed form: 0.00 eV/f.u.
* energy of formation from the pure elements: -0.090 eV per formula unit


First-principles (PBE) data for crystalline Mg2ReTc at its relaxed geometry, as listed in Alexandria via LeMat-Bulk.

Unit cell a=2.6884 b=4.4979 c=5.3131 alpha=90.00 beta=90.00 gamma=90.00
Element x y z (fractional)
Mg (0.0000, 0.0000, 0.2497)
Mg (0.0000, 0.0000, 0.7503)
Re (0.5000, 0.5000, 0.0000)
Tc (0.5000, 0.5000, 0.5000)

Computed properties:
* offset from the most stable computed form: 1.25 eV/f.u.
* energy of formation from the pure elements: 1.324 eV per formula unit


no.,VASP energy (Ry per atom)
1,-0.48495
2,-0.24632
3,-0.26374
4,-0.57116
5,-0.35546
6,-0.33294
7,-0.93544
8,-0.45347